# CdOsSe2 | the Alexandria database | PBE | optimized geometry
# Raw formation energy = 0.109 eV/atom
data_CdOsSe2
_cell_length_a 6.4459
_cell_length_b 3.7223
_cell_length_c 7.5637
_cell_angle_alpha 90.00
_cell_angle_beta 106.26
_cell_angle_gamma 90.00
_space_group_name_H-M_alt 'C 1 2/m 1'
_space_group_IT_number 12
loop_
_space_group_symop_operation_xyz
'x,y,z'
'-x,-y,-z'
'-x,y,-z'
'x,-y,z'
'x+1/2,y+1/2,z'
'-x+1/2,-y+1/2,-z'
'-x+1/2,y+1/2,-z'
'x+1/2,-y+1/2,z'
loop_
_atom_site_label
_atom_site_type_symbol
_atom_site_fract_x
_atom_site_fract_y
_atom_site_fract_z
Cd1 Cd 0.0000 0.0000 0.0000
Os1 Os 0.0000 0.5000 0.5000
Se1 Se 0.2264 0.0000 0.6821


# CdOs2Se | the Alexandria database | PBE | optimized geometry
# Raw formation energy = 1.074 eV/atom
# Offset from the most stable computed form = 764 meV per atom
data_CdOs2Se
_cell_length_a 4.1054
_cell_length_b 4.1054
_cell_length_c 7.8118
_cell_angle_alpha 90.00
_cell_angle_beta 90.00
_cell_angle_gamma 90.00
_space_group_name_H-M_alt 'I 4/m m m'
_space_group_IT_number 139
_space_group_name_Hall '-I 4 2'
loop_
_atom_site_label
_atom_site_type_symbol
_atom_site_fract_x
_atom_site_fract_y
_atom_site_fract_z
Cd1 Cd 0.0000 0.0000 0.0000
Os1 Os 0.0000 0.5000 0.2500
Se1 Se 0.0000 0.0000 0.5000


# CdOsSe2 | the Alexandria database | PBE | optimized geometry
# Raw formation energy = 0.223 eV/atom
data_CdOsSe2
_cell_length_a 6.3542
_cell_length_b 6.3542
_cell_length_c 10.0573
_cell_angle_alpha 90.00
_cell_angle_beta 90.00
_cell_angle_gamma 90.00
_space_group_name_H-M_alt 'I -4 2 d'
_space_group_IT_number 122
_space_group_name_Hall 'I -4 2bw'
loop_
_atom_site_label
_atom_site_type_symbol
_atom_site_fract_x
_atom_site_fract_y
_atom_site_fract_z
Cd1 Cd 0.0000 0.0000 0.0000
Os1 Os 0.0000 0.0000 0.5000
Se1 Se 0.1998 0.2500 0.6250


# CdOs2Se | the Alexandria database | PBE | optimized geometry
# Raw formation energy = 0.846 eV/atom
# Offset from the most stable computed form = 535 meV per atom
data_CdOs2Se
_cell_length_a 3.0024
_cell_length_b 4.1256
_cell_length_c 5.5513
_cell_angle_alpha 90.00
_cell_angle_beta 104.16
_cell_angle_gamma 90.00
_space_group_name_H-M_alt 'P 1 2/m 1'
_space_group_IT_number 10
loop_
_space_group_symop_operation_xyz
'x,y,z'
'-x,-y,-z'
'-x,y,-z'
'x,-y,z'
loop_
_atom_site_label
_atom_site_type_symbol
_atom_site_fract_x
_atom_site_fract_y
_atom_site_fract_z
Cd1 Cd 0.0000 0.0000 0.0000
Os1 Os 0.3637 0.5000 0.7192
Se1 Se 0.5000 0.0000 0.5000


# CdOsSe | the Alexandria database | PBE | optimized geometry
# Raw formation energy = 0.609 eV/atom
# Offset from the most stable computed form = 304 meV per atom
data_CdOsSe
_cell_length_a 4.3220
_cell_length_b 4.3220
_cell_length_c 3.4110
_cell_angle_alpha 90.00
_cell_angle_beta 90.00
_cell_angle_gamma 120.00
_space_group_name_H-M_alt 'P -6 m 2'
_space_group_IT_number 187
_space_group_name_Hall 'P -6 2'
loop_
_atom_site_label
_atom_site_type_symbol
_atom_site_fract_x
_atom_site_fract_y
_atom_site_fract_z
Cd1 Cd 0.0000 0.0000 0.0000
Os1 Os 0.6667 0.3333 0.5000
Se1 Se 0.3333 0.6667 0.5000


# CdOs2Se | the Alexandria database | PBE | optimized geometry
# Raw formation energy = 0.792 eV/atom
# Offset from the most stable computed form = 481 meV per atom
data_CdOs2Se
_cell_length_a 3.0391
_cell_length_b 3.0391
_cell_length_c 6.9652
_cell_angle_alpha 90.00
_cell_angle_beta 90.00
_cell_angle_gamma 90.00
_space_group_name_H-M_alt 'P 4/m m m'
_space_group_IT_number 123
_space_group_name_Hall '-P 4 2'
loop_
_atom_site_label
_atom_site_type_symbol
_atom_site_fract_x
_atom_site_fract_y
_atom_site_fract_z
Cd1 Cd 0.0000 0.0000 0.0000
Os1 Os 0.5000 0.5000 0.2870
Se1 Se 0.0000 0.0000 0.5000


# CdOsSe2 | the Alexandria database | PBE | optimized geometry
# Raw formation energy = 0.867 eV/atom
data_CdOsSe2
_cell_length_a 3.4477
_cell_length_b 4.4791
_cell_length_c 4.7864
_cell_angle_alpha 90.00
_cell_angle_beta 90.00
_cell_angle_gamma 90.00
_space_group_name_H-M_alt 'P m m m'
_space_group_IT_number 47
loop_
_space_group_symop_operation_xyz
'x,y,z'
'-x,-y,-z'
'-x,-y,z'
'x,y,-z'
'x,-y,-z'
'-x,y,z'
'-x,y,-z'
'x,-y,z'
loop_
_atom_site_label
_atom_site_type_symbol
_atom_site_fract_x
_atom_site_fract_y
_atom_site_fract_z
Cd1 Cd 0.0000 0.0000 0.0000
Os1 Os 0.5000 0.0000 0.5000
Se1 Se 0.0000 0.5000 0.5000
Se2 Se 0.5000 0.5000 0.0000


# CdOs3Se | the Alexandria database | PBE | optimized geometry
# Raw formation energy = 3.206 eV/atom
# Offset from the most stable computed form = 1595 meV per atom
data_CdOs3Se
_cell_length_a 4.9348
_cell_length_b 4.9348
_cell_length_c 4.9348
_cell_angle_alpha 90.00
_cell_angle_beta 90.00
_cell_angle_gamma 90.00
_space_group_name_H-M_alt 'P m -3 m'
_space_group_IT_number 221
_space_group_name_Hall '-P 4 2 3'
loop_
_atom_site_label
_atom_site_type_symbol
_atom_site_fract_x
_atom_site_fract_y
_atom_site_fract_z
Cd1 Cd 0.0000 0.0000 0.0000
Os1 Os 0.0000 0.0000 0.5000
Se1 Se 0.5000 0.5000 0.5000


# CdSiOs2 | the Alexandria database | PBE | optimized geometry
# Raw formation energy = 0.240 eV/atom
data_CdSiOs2
_cell_length_a 2.8980
_cell_length_b 3.8267
_cell_length_c 5.7173
_cell_angle_alpha 90.00
_cell_angle_beta 102.68
_cell_angle_gamma 90.00
_space_group_name_H-M_alt 'P 1 2/m 1'
_space_group_IT_number 10
loop_
_space_group_symop_operation_xyz
'x,y,z'
'-x,-y,-z'
'-x,y,-z'
'x,-y,z'
loop_
_atom_site_label
_atom_site_type_symbol
_atom_site_fract_x
_atom_site_fract_y
_atom_site_fract_z
Cd1 Cd 0.0000 0.0000 0.0000
Si1 Si 0.0000 0.0000 0.5000
Os1 Os 0.3576 0.5000 0.7120


# CdSiOs2 | the Alexandria database | PBE | optimized geometry
# Raw formation energy = 0.284 eV/atom
data_CdSiOs2
_cell_length_a 9.3212
_cell_length_b 2.8968
_cell_length_c 4.8502
_cell_angle_alpha 90.00
_cell_angle_beta 109.54
_cell_angle_gamma 90.00
_space_group_name_H-M_alt 'C 1 2/m 1'
_space_group_IT_number 12
loop_
_space_group_symop_operation_xyz
'x,y,z'
'-x,-y,-z'
'-x,y,-z'
'x,-y,z'
'x+1/2,y+1/2,z'
'-x+1/2,-y+1/2,-z'
'-x+1/2,y+1/2,-z'
'x+1/2,-y+1/2,z'
loop_
_atom_site_label
_atom_site_type_symbol
_atom_site_fract_x
_atom_site_fract_y
_atom_site_fract_z
Cd1 Cd 0.0000 0.0000 0.0000
Si1 Si 0.0000 0.5000 0.5000
Os1 Os 0.2159 0.0000 0.7083


# CdSiOs4 | the Alexandria database | PBE | optimized geometry
# Raw formation energy = 0.912 eV/atom
data_CdSiOs4
_cell_length_a 7.3736
_cell_length_b 7.3736
_cell_length_c 7.3736
_cell_angle_alpha 90.00
_cell_angle_beta 90.00
_cell_angle_gamma 90.00
_space_group_name_H-M_alt 'F -4 3 m'
_space_group_IT_number 216
_space_group_name_Hall 'F -4 2 3'
loop_
_atom_site_label
_atom_site_type_symbol
_atom_site_fract_x
_atom_site_fract_y
_atom_site_fract_z
Cd1 Cd 0.0000 0.0000 0.0000
Si1 Si 0.2500 0.2500 0.2500
Os1 Os 0.1247 0.1247 0.6247


# CdSiOs2 | the Alexandria database | PBE | optimized geometry
# Raw formation energy = 0.400 eV/atom
data_CdSiOs2
_cell_length_a 2.8037
_cell_length_b 3.6571
_cell_length_c 6.2626
_cell_angle_alpha 90.00
_cell_angle_beta 90.00
_cell_angle_gamma 90.00
_space_group_name_H-M_alt 'P m m 2'
_space_group_IT_number 25
loop_
_space_group_symop_operation_xyz
'x,y,z'
'-x,-y,z'
'-x,y,z'
'x,-y,z'
loop_
_atom_site_label
_atom_site_type_symbol
_atom_site_fract_x
_atom_site_fract_y
_atom_site_fract_z
Cd1 Cd 0.0000 0.0000 0.0000
Si1 Si 0.5000 0.5000 0.6849
Os1 Os 0.0000 0.0000 0.5117
Os2 Os 0.5000 0.5000 0.2847